*P*
First-principles (PBE-GGA) data for a relaxed MgP2Br crystal, as listed in Alexandria.

Values from the calculation:
Fermi-level density of states   1.502 states/eV/f.u.
Symmetry   No. 65

Geometry as POSCAR:
```
MgP2Br
1.0
2.2927 -4.9208 0.0000
2.2927 4.9208 0.0000
0.0000 0.0000 4.7767
Mg P Br
1 2 1
Direct
0.0000 0.0000 0.0000 Mg
0.0000 0.5000 0.5000 P
0.5000 0.0000 0.5000 P
0.5000 0.5000 0.0000 Br
```

=====

*Q*
First-principles (PBE-GGA) data for a relaxed MgP2Br crystal, as listed in Alexandria.

Values from the calculation:
Fermi-level density of states   0.275 states/eV/f.u.
Symmetry   No. 6

Geometry as POSCAR:
```
MgP2Br
1.0
3.5827 0.0000 0.0000
0.0000 3.4038 0.0000
-0.9205 0.0000 7.8314
Mg P Br
1 2 1
Direct
0.0000 0.0000 0.0000 Mg
0.0402 0.5000 0.7242 P
0.4490 0.0000 0.7289 P
0.5594 0.5000 0.1789 Br
```

=====

*R*
First-principles (PBE-GGA) data for a relaxed MgP2Br crystal, as listed in Alexandria.

Values from the calculation:
Fermi-level density of states   1.154 states/eV/f.u.
Symmetry   No. 10

Geometry as POSCAR:
```
MgP2Br
1.0
3.4787 0.0000 0.0000
0.0000 5.0938 0.0000
-1.3906 0.0000 4.9080
Mg P Br
1 2 1
Direct
0.0000 0.0000 0.0000 Mg
0.1956 0.5000 0.8537 P
0.8044 0.5000 0.1463 P
0.5000 0.0000 0.5000 Br
```

=====

Stability comparison, relative energies in kJ/mol of atoms: *P* 68.7; *Q* 0.0; *R* 15.7

=====

*P*
First-principles (PBE-GGA) data for a relaxed MgP2Br crystal, as listed in Alexandria.

Values from the calculation:
Fermi-level density of states   1.081 states/eV/f.u.
Symmetry   No. 44

Geometry as POSCAR:
```
MgP2Br
1.0
-1.7041 3.8964 4.2695
1.7041 -3.8964 4.2695
1.7041 3.8964 -4.2695
Mg P Br
1 2 1
Direct
0.0000 0.0000 0.0000 Mg
0.2401 0.7401 0.5000 P
0.3958 0.3958 0.0000 P
0.7866 0.2866 0.5000 Br
```

=====

*Q*
First-principles (PBE-GGA) data for a relaxed MgP2Br crystal, as listed in Alexandria.

Values from the calculation:
Fermi-level density of states   0.464 states/eV/f.u.
Symmetry   No. 8

Geometry as POSCAR:
```
MgP2Br
1.0
3.4545 -1.7140 0.0000
3.4545 1.7140 0.0000
-2.0174 0.0000 8.4345
Mg P Br
1 2 1
Direct
0.0000 0.0000 0.0000 Mg
0.2885 0.2885 0.7830 P
0.5715 0.5715 0.6759 P
0.7326 0.7326 0.1816 Br
```

=====

*R*
First-principles (PBE-GGA) data for a relaxed MgP2Br crystal, as listed in Alexandria.

Values from the calculation:
Fermi-level density of states   2.104 states/eV/f.u.
Symmetry   No. 139

Geometry as POSCAR:
```
MgP2Br
1.0
-2.7944 2.7944 2.5588
2.7944 -2.7944 2.5588
2.7944 2.7944 -2.5588
Mg P Br
1 2 1
Direct
0.0000 0.0000 0.0000 Mg
0.0000 0.5000 0.5000 P
0.5000 0.0000 0.5000 P
0.5000 0.5000 0.0000 Br
```

=====

*S*
First-principles (PBE-GGA) data for a relaxed MgP2Br crystal, as listed in Alexandria.

Values from the calculation:
Fermi-level density of states   1.372 states/eV/f.u.
Symmetry   No. 216

Geometry as POSCAR:
```
MgP2Br
1.0
0.0000 3.3569 3.3569
3.3569 0.0000 3.3569
3.3569 3.3569 0.0000
Mg P Br
1 2 1
Direct
0.0000 0.0000 0.0000 Mg
0.2500 0.2500 0.2500 P
0.5000 0.5000 0.5000 P
0.7500 0.7500 0.7500 Br
```

=====

Stability comparison, relative energies in kJ/mol of atoms: *P* 18.9; *Q* 0.0; *R* 46.7; *S* 76.0

=====

*P*
First-principles (PBE-GGA) data for a relaxed MgP2Br crystal, as listed in Alexandria.

Values from the calculation:
Fermi-level density of states   1.490 states/eV/f.u.
Symmetry   No. 122

Geometry as POSCAR:
```
MgP2Br
1.0
-1.8970 1.8970 11.5328
1.8970 -1.8970 11.5328
1.8970 1.8970 -11.5328
Mg P Br
2 4 2
Direct
0.0000 0.0000 0.0000 Mg
0.7500 0.2500 0.5000 Mg
0.0425 0.6250 0.9175 P
0.3750 0.2925 0.4175 P
0.7075 0.1250 0.0825 P
0.8750 0.9575 0.5825 P
0.2500 0.7500 0.5000 Br
0.5000 0.5000 0.0000 Br
```

=====

*Q*
First-principles (PBE-GGA) data for a relaxed MgP2Br crystal, as listed in Alexandria.

Values from the calculation:
Fermi-level density of states   1.905 states/eV/f.u.
Symmetry   No. 123

Geometry as POSCAR:
```
MgP2Br
1.0
4.9919 0.0000 0.0000
0.0000 4.9919 0.0000
0.0000 0.0000 3.0585
Mg P Br
1 2 1
Direct
0.0000 0.0000 0.0000 Mg
0.0000 0.5000 0.5000 P
0.5000 0.0000 0.5000 P
0.5000 0.5000 0.0000 Br
```

=====

*R*
First-principles (PBE-GGA) data for a relaxed MgP2Br crystal, as listed in Alexandria.

Values from the calculation:
Fermi-level density of states   5.811 states/eV/f.u.
Symmetry   No. 166

Geometry as POSCAR:
```
MgP2Br
1.0
1.4875 0.8588 12.5672
-1.4875 0.8588 12.5672
0.0000 -1.7176 12.5672
Mg P Br
1 2 1
Direct
0.0000 0.0000 0.0000 Mg
0.2786 0.2786 0.2786 P
0.7214 0.7214 0.7214 P
0.5000 0.5000 0.5000 Br
```

=====

*S*
First-principles (PBE-GGA) data for a relaxed MgP2Br crystal, as listed in Alexandria.

Values from the calculation:
Fermi-level density of states   1.828 states/eV/f.u.
Symmetry   No. 123

Geometry as POSCAR:
```
MgP2Br
1.0
3.8645 0.0000 0.0000
0.0000 3.8645 0.0000
0.0000 0.0000 5.7811
Mg P Br
1 2 1
Direct
0.0000 0.0000 0.0000 Mg
0.5000 0.5000 0.1789 P
0.5000 0.5000 0.8211 P
0.0000 0.0000 0.5000 Br
```

=====

Stability comparison, relative energies in kJ/mol of atoms: *P* 0.0; *Q* 62.6; *R* 59.4; *S* 12.7

=====

*P*
First-principles (PBE-GGA) data for a relaxed Mg3PBr crystal, as listed in Alexandria.

Values from the calculation:
Fermi-level density of states   4.240 states/eV/f.u.
Symmetry   No. 221

Geometry as POSCAR:
```
Mg3PBr
1.0
5.0742 0.0000 0.0000
0.0000 5.0742 0.0000
0.0000 0.0000 5.0742
Mg P Br
3 1 1
Direct
0.0000 0.0000 0.5000 Mg
0.0000 0.5000 0.0000 Mg
0.5000 0.0000 0.0000 Mg
0.0000 0.0000 0.0000 P
0.5000 0.5000 0.5000 Br
```

=====

*Q*
First-principles (PBE-GGA) data for a relaxed Mg3PBr crystal, as listed in Alexandria.

Values from the calculation:
Fermi-level density of states   5.364 states/eV/f.u.
Symmetry   No. 221

Geometry as POSCAR:
```
Mg3PBr
1.0
5.1461 0.0000 0.0000
0.0000 5.1461 0.0000
0.0000 0.0000 5.1461
Mg P Br
3 1 1
Direct
0.0000 0.0000 0.5000 Mg
0.0000 0.5000 0.0000 Mg
0.5000 0.0000 0.0000 Mg
0.5000 0.5000 0.5000 P
0.0000 0.0000 0.0000 Br
```

=====

Stability comparison, relative energies in kJ/mol of atoms: *P* 0.0; *Q* 70.5

=====

*P*
First-principles (PBE-GGA) data for a relaxed MgPBr crystal, as listed in Alexandria.

Values from the calculation:
Fermi-level density of states   3.523 states/eV/f.u.
Symmetry   No. 216

Geometry as POSCAR:
```
MgPBr
1.0
0.0000 3.3234 3.3234
3.3234 0.0000 3.3234
3.3234 3.3234 0.0000
Mg P Br
1 1 1
Direct
0.0000 0.0000 0.0000 Mg
0.2500 0.2500 0.2500 P
0.5000 0.5000 0.5000 Br
```

=====

*Q*
First-principles (PBE-GGA) data for a relaxed MgPBr crystal, as listed in Alexandria.

Values from the calculation:
Fermi-level density of states   0.099 states/eV/f.u.
Symmetry   No. 1

Geometry as POSCAR:
```
MgPBr
1.0
3.6348 0.0000 0.0000
0.0026 5.0559 0.0000
0.0061 2.2178 8.2291
Mg P Br
2 2 2
Direct
0.0000 0.0000 0.0000 Mg
0.4973 0.6578 0.5289 Mg
0.0004 0.8847 0.7275 P
0.5007 0.1226 0.5877 P
0.4999 0.3334 0.0180 Br
0.9988 0.6760 0.2968 Br
```

=====

Stability comparison, relative energies in kJ/mol of atoms: *P* 99.8; *Q* 0.0

=====

*P*
First-principles (PBE-GGA) data for a relaxed MgPBr crystal, as listed in Alexandria.

Values from the calculation:
Fermi-level density of states   0.150 states/eV/f.u.
Symmetry   No. 1

Geometry as POSCAR:
```
MgPBr
1.0
3.6189 0.0000 0.0000
1.8092 3.6126 0.0000
0.4043 1.5261 11.4136
Mg P Br
2 2 2
Direct
0.0000 0.0000 0.0000 Mg
0.4662 0.1622 0.6141 Mg
0.2747 0.4860 0.8656 P
0.7633 0.5351 0.7488 P
0.1380 0.8466 0.4835 Br
0.6997 0.5738 0.1309 Br
```

=====

*Q*
First-principles (PBE-GGA) data for a relaxed MgPBr crystal, as listed in Alexandria.

Values from the calculation:
Fermi-level density of states   1.317 states/eV/f.u.
Symmetry   No. 107

Geometry as POSCAR:
```
MgPBr
1.0
-1.6010 1.6010 8.1158
1.6010 -1.6010 8.1158
1.6010 1.6010 -8.1158
Mg P Br
1 1 1
Direct
0.0000 0.0000 0.0000 Mg
0.3897 0.3897 0.0000 P
0.6004 0.6004 0.0000 Br
```

=====

Stability comparison, relative energies in kJ/mol of atoms: *P* 0.0; *Q* 62.0

=====

*P*
First-principles (PBE-GGA) data for a relaxed MgPBr crystal, as listed in Alexandria.

Values from the calculation:
Symmetry   No. 8

Geometry as POSCAR:
```
MgPBr
1.0
7.8934 -1.7563 0.0000
7.8934 1.7563 0.0000
-1.6378 0.0000 5.1422
Mg P Br
2 2 2
Direct
0.0000 0.0000 0.0000 Mg
0.7162 0.7162 0.6233 Mg
0.1570 0.1570 0.9335 P
0.7404 0.7404 0.1550 P
0.3790 0.3790 0.7327 Br
0.5321 0.5321 0.3722 Br
```

=====

*Q*
First-principles (PBE-GGA) data for a relaxed MgPBr crystal, as listed in Alexandria.

Values from the calculation:
Symmetry   No. 2

Geometry as POSCAR:
```
MgPBr
1.0
3.5081 0.0000 0.0000
1.6608 7.0784 0.0000
0.0170 2.8013 6.9875
Mg P Br
2 2 2
Direct
0.2346 0.0385 0.2753 Mg
0.7654 0.9615 0.7247 Mg
0.1954 0.1153 0.9229 P
0.8046 0.8847 0.0771 P
0.3693 0.7439 0.6233 Br
0.6307 0.2561 0.3767 Br
```

=====

*R*
First-principles (PBE-GGA) data for a relaxed MgPBr crystal, as listed in Alexandria.

Values from the calculation:
Fermi-level density of states   0.213 states/eV/f.u.
Symmetry   No. 2

Geometry as POSCAR:
```
MgPBr
1.0
3.5990 0.0000 0.0000
1.7978 3.6200 0.0000
0.6256 0.3208 11.6031
Mg P Br
2 2 2
Direct
0.0152 0.4007 0.1904 Mg
0.9848 0.5993 0.8096 Mg
0.2504 0.0195 0.9420 P
0.7496 0.9805 0.0580 P
0.3133 0.7607 0.3194 Br
0.6867 0.2393 0.6806 Br
```

=====

Stability comparison, relative energies in kJ/mol of atoms: *P* 8.3; *Q* 6.3; *R* 0.0

=====

*P*
First-principles (PBE-GGA) data for a relaxed MgPBr crystal, as listed in Alexandria.

Values from the calculation:
Symmetry   No. 1

Geometry as POSCAR:
```
MgPBr
1.0
3.4879 0.0000 0.0000
0.0055 7.4215 0.0000
1.6672 2.2763 7.2004
Mg P Br
2 2 2
Direct
0.0000 0.0000 0.0000 Mg
0.0038 0.4370 0.0002 Mg
0.0956 0.7805 0.7986 P
0.4902 0.7122 0.0201 P
0.5933 0.2787 0.8046 Br
0.8676 0.1354 0.2708 Br
```

=====

*Q*
First-principles (PBE-GGA) data for a relaxed MgPBr crystal, as listed in Alexandria.

Values from the calculation:
Fermi-level density of states   1.295 states/eV/f.u.
Symmetry   No. 107

Geometry as POSCAR:
```
MgPBr
1.0
-1.8933 1.8933 5.4148
1.8933 -1.8933 5.4148
1.8933 1.8933 -5.4148
Mg P Br
1 1 1
Direct
0.0000 0.0000 0.0000 Mg
0.4825 0.4825 0.0000 P
0.2617 0.2617 0.0000 Br
```

=====

Stability comparison, relative energies in kJ/mol of atoms: *P* 0.0; *Q* 42.3

=====

*P*
First-principles (PBE-GGA) data for a relaxed MgPBr crystal, as listed in Alexandria.

Values from the calculation:
Symmetry   No. 44

Geometry as POSCAR:
```
MgPBr
1.0
-1.7571 6.5722 3.4966
1.7571 -6.5722 3.4966
1.7571 6.5722 -3.4966
Mg P Br
2 2 2
Direct
0.1603 0.0000 0.1603 Mg
0.8397 0.0000 0.8397 Mg
0.0235 0.5235 0.5000 P
0.7967 0.7967 0.0000 P
0.1683 0.3757 0.7926 Br
0.5831 0.3757 0.2074 Br
```

=====

*Q*
First-principles (PBE-GGA) data for a relaxed MgPBr crystal, as listed in Alexandria.

Values from the calculation:
Fermi-level density of states   1.817 states/eV/f.u.
Symmetry   No. 156

Geometry as POSCAR:
```
MgPBr
1.0
3.4145 0.0000 0.0000
-1.7073 2.9571 0.0000
0.0000 0.0000 7.8106
Mg P Br
1 1 1
Direct
0.0000 0.0000 0.0000 Mg
0.6667 0.3333 0.2551 P
0.3333 0.6667 0.7866 Br
```

=====

Stability comparison, relative energies in kJ/mol of atoms: *P* 0.0; *Q* 46.6

=====

*P*
First-principles (PBE-GGA) data for a relaxed MgPBr crystal, as listed in Alexandria.

Values from the calculation:
Fermi-level density of states   2.191 states/eV/f.u.
Symmetry   No. 216

Geometry as POSCAR:
```
MgPBr
1.0
0.0000 3.2639 3.2639
3.2639 0.0000 3.2639
3.2639 3.2639 0.0000
Mg P Br
1 1 1
Direct
0.0000 0.0000 0.0000 Mg
0.2500 0.2500 0.2500 P
0.7500 0.7500 0.7500 Br
```

=====

*Q*
First-principles (PBE-GGA) data for a relaxed MgPBr crystal, as listed in Alexandria.

Values from the calculation:
Symmetry   No. 8

Geometry as POSCAR:
```
MgPBr
1.0
6.1788 -1.7665 0.0000
6.1788 1.7665 0.0000
-2.8383 0.0000 6.6446
Mg P Br
2 2 2
Direct
0.0000 0.0000 0.0000 Mg
0.7378 0.7378 0.6634 Mg
0.1782 0.1782 0.8920 P
0.7980 0.7980 0.0574 P
0.3951 0.3951 0.6441 Br
0.5744 0.5744 0.3000 Br
```

=====

Stability comparison, relative energies in kJ/mol of atoms: *P* 79.2; *Q* 0.0

=====

*P*
First-principles (PBE-GGA) data for a relaxed MgPBr3 crystal, as listed in Alexandria.

Values from the calculation:
Fermi-level density of states   1.943 states/eV/f.u.
Symmetry   No. 221

Geometry as POSCAR:
```
MgPBr3
1.0
5.1995 0.0000 0.0000
0.0000 5.1995 0.0000
0.0000 0.0000 5.1995
Mg P Br
1 1 3
Direct
0.0000 0.0000 0.0000 Mg
0.5000 0.5000 0.5000 P
0.0000 0.5000 0.5000 Br
0.5000 0.0000 0.5000 Br
0.5000 0.5000 0.0000 Br
```

=====

*Q*
First-principles (PBE-GGA) data for a relaxed MgPBr3 crystal, as listed in Alexandria.

Values from the calculation:
Fermi-level density of states   6.589 states/eV/f.u.
Symmetry   No. 221

Geometry as POSCAR:
```
MgPBr3
1.0
5.2515 0.0000 0.0000
0.0000 5.2515 0.0000
0.0000 0.0000 5.2515
Mg P Br
1 1 3
Direct
0.0000 0.0000 0.0000 Mg
0.5000 0.5000 0.5000 P
0.0000 0.0000 0.5000 Br
0.0000 0.5000 0.0000 Br
0.5000 0.0000 0.0000 Br
```

=====

Stability comparison, relative energies in kJ/mol of atoms: *P* 6.4; *Q* 0.0